# 1
A plane-wave DFT calculation with PBEsol was carried out for a relaxed ZrReSi3 crystal.

abc: 4.5952 4.5952 4.5952
angles: 90.00 90.00 90.00
Last column: nearest neighbours and their distance in Å.
Fractional coordinates of all 5 atoms:
1 Zr 0.0000 0.0000 0.0000  12 Si 3.25
2 Re 0.5000 0.5000 0.5000  6 Si 2.30
3 Si 0.0000 0.5000 0.5000  2 Re 2.30
4 Si 0.5000 0.0000 0.5000  2 Re 2.30
5 Si 0.5000 0.5000 0.0000  2 Re 2.30

Size of the total moment (μB/cell): 0.92
Calculated volume (A^3/atom): 19.41
Calculated total energy (eV per atom): -7.30
ΔE_f (raw) (meV/atom): 632.4
N(E_F) (states/eV/atom): 1.337

***

# 2
A plane-wave DFT calculation with PBEsol was carried out for a relaxed CaSb2P crystal.

abc: 4.0795 4.0795 6.5618
angles: 90.00 90.00 90.00
Last column: nearest neighbours and their distance in Å.
Fractional coordinates of all 4 atoms:
1 Ca 0.0000 0.0000 0.0000  4 P 2.89
2 Sb 0.0000 0.0000 0.4939  4 Sb 3.04, 2 Ca 3.24-3.32
3 Sb 0.5000 0.5000 0.6401  1 P 2.47
4 P 0.5000 0.5000 0.0167  1 Sb 2.47

Size of the total moment (μB/cell): 0.00
Calculated volume (A^3/atom): 27.30
Calculated total energy (eV per atom): -4.71
ΔE_f (raw) (meV/atom): -447.6
N(E_F) (states/eV/atom): 0.376

***

# 3
A plane-wave DFT calculation with PBEsol was carried out for a relaxed SrTlTcCl2 crystal.

abc: 5.3705 5.3705 6.4216
angles: 90.00 90.00 90.00
Last column: nearest neighbours and their distance in Å.
Fractional coordinates of all 5 atoms:
1 Sr 0.0000 0.0000 0.0000  4 Cl 2.69
2 Tl 0.5000 0.5000 0.5000  4 Tc 3.80, 8 Cl 4.19
3 Tc 0.0000 0.0000 0.5000  2 Sr 3.21
4 Cl 0.0000 0.5000 0.0000  2 Sr 2.69
5 Cl 0.5000 0.0000 0.0000  2 Sr 2.69

Size of the total moment (μB/cell): 4.02
Calculated volume (A^3/atom): 37.04
Calculated total energy (eV per atom): -3.80
ΔE_f (raw) (meV/atom): 146.1
N(E_F) (states/eV/atom): 0.657

***

# 4
A plane-wave DFT calculation with PBEsol was carried out for a relaxed H8PtN2Cl2O2 crystal.

abc: 5.9694 6.8647 7.9496
angles: 90.00 104.44 90.00
Last column: nearest neighbours and their distance in Å.
Fractional coordinates of all 30 atoms:
1 H 0.1038 0.1564 0.4098  1 N 1.06
2 H 0.1038 0.3436 0.9098  1 N 1.06
3 H 0.1363 0.1560 0.6293  1 N 1.05
4 H 0.1363 0.3440 0.1293  1 N 1.05
5 H 0.2009 0.6152 0.2798  1 O 0.99
6 H 0.2009 0.8848 0.7798  1 O 0.99
7 H 0.3416 0.2401 0.0431  1 N 1.03
8 H 0.3416 0.2599 0.5431  1 N 1.03
9 H 0.6584 0.7401 0.4569  1 N 1.03
10 H 0.6584 0.7599 0.9569  1 N 1.03
11 H 0.7991 0.1152 0.2202  1 O 0.99
12 H 0.7991 0.3848 0.7202  1 O 0.99
13 H 0.8637 0.6560 0.8707  1 N 1.05
14 H 0.8637 0.8440 0.3707  1 N 1.05
15 H 0.8962 0.6564 0.0902  1 N 1.06
16 H 0.8962 0.8436 0.5902  1 N 1.06
17 Pt 0.0000 0.0000 0.0000  2 O 2.01, 2 N 2.04
18 Pt 0.0000 0.5000 0.5000  2 O 2.01, 2 N 2.04
19 N 0.1665 0.2376 0.5249  3 H 1.03-1.06
20 N 0.1665 0.2624 0.0249  3 H 1.03-1.06
21 N 0.8335 0.7376 0.9751  3 H 1.03-1.06
22 N 0.8335 0.7624 0.4751  3 H 1.03-1.06
23 Cl 0.3466 0.6504 0.6270  1 Pt 2.31, 1 H 2.31
24 Cl 0.3466 0.8496 0.1270  1 Pt 2.31, 1 H 2.31
25 Cl 0.6534 0.1504 0.8730  1 Pt 2.31, 1 H 2.31
26 Cl 0.6534 0.3496 0.3730  1 Pt 2.31, 1 H 2.31
27 O 0.0657 0.5280 0.2649  1 H 0.99
28 O 0.0657 0.9720 0.7649  1 H 0.99
29 O 0.9343 0.0280 0.2351  1 H 0.99
30 O 0.9343 0.4720 0.7351  1 H 0.99

Size of the total moment (μB/cell): 0.00
Calculated volume (A^3/atom): 10.52
Calculated total energy (eV per atom): -5.00
N(E_F) (states/eV/atom): 0.000

***

# 5
A plane-wave DFT calculation with PBEsol was carried out for a relaxed Sr2Sn crystal.

abc: 8.1758 5.3461 10.0036
angles: 90.00 90.00 90.00
Last column: nearest neighbours and their distance in Å.
Fractional coordinates of all 12 atoms:
1 Sr 0.0208 0.2500 0.1853  3 Sn 3.45-3.55
2 Sr 0.1609 0.2500 0.5739  4 Sn 3.29-3.39
3 Sr 0.3391 0.7500 0.0739  4 Sn 3.29-3.39
4 Sr 0.4792 0.7500 0.6853  3 Sn 3.45-3.55
5 Sr 0.5208 0.2500 0.3147  3 Sn 3.45-3.55
6 Sr 0.6609 0.2500 0.9261  4 Sn 3.29-3.39
7 Sr 0.8391 0.7500 0.4261  4 Sn 3.29-3.39
8 Sr 0.9792 0.7500 0.8147  3 Sn 3.45-3.55
9 Sn 0.2484 0.2500 0.8946  7 Sr 3.29-3.55
10 Sn 0.2516 0.7500 0.3946  7 Sr 3.29-3.55
11 Sn 0.7484 0.2500 0.6054  7 Sr 3.29-3.55
12 Sn 0.7516 0.7500 0.1054  7 Sr 3.29-3.55

Size of the total moment (μB/cell): 0.00
DFT formation energy (eV per atom): -0.6509
Calculated volume (A^3/atom): 36.44
Calculated total energy (eV per atom): -3.30
N(E_F) (states/eV/atom): 0.009

***

# 6
A plane-wave DFT calculation with PBEsol was carried out for a relaxed SrBeCo crystal.

abc: 6.1731 6.1731 6.1731
angles: 90.00 90.00 90.00
Last column: nearest neighbours and their distance in Å.
Fractional coordinates of all 12 atoms:
1 Sr 0.0000 0.0000 0.0000  4 Be 2.67
2 Sr 0.0000 0.5000 0.5000  4 Be 2.67
3 Sr 0.5000 0.0000 0.5000  4 Be 2.67
4 Sr 0.5000 0.5000 0.0000  4 Be 2.67
5 Be 0.2500 0.2500 0.2500  4 Co 2.67, 4 Sr 2.67
6 Be 0.2500 0.7500 0.7500  4 Co 2.67, 4 Sr 2.67
7 Be 0.7500 0.2500 0.7500  4 Co 2.67, 4 Sr 2.67
8 Be 0.7500 0.7500 0.2500  4 Co 2.67, 4 Sr 2.67
9 Co 0.0000 0.0000 0.5000  4 Be 2.67
10 Co 0.0000 0.5000 0.0000  4 Be 2.67
11 Co 0.5000 0.0000 0.0000  4 Be 2.67
12 Co 0.5000 0.5000 0.5000  4 Be 2.67

Size of the total moment (μB/cell): 1.73
DFT formation energy (eV per atom): 0.9566
Calculated volume (A^3/atom): 19.60
Calculated total energy (eV per atom): -3.57
E above lowest polymorph (eV per formula unit): 0.00
N(E_F) (states/eV/atom): 1.547

***

# 7
A plane-wave DFT calculation with PBEsol was carried out for a relaxed Te2IrBr crystal.

abc: 4.2470 4.2470 4.7569
angles: 90.00 90.00 90.00
Last column: nearest neighbours and their distance in Å.
Fractional coordinates of all 4 atoms:
1 Te 0.0000 0.5000 0.0000  4 Te 3.00, 4 Br 3.19, 4 Ir 3.19
2 Te 0.5000 0.0000 0.0000  4 Te 3.00, 4 Br 3.19, 4 Ir 3.19
3 Ir 0.0000 0.0000 0.5000  4 Br 3.00, 8 Te 3.19
4 Br 0.5000 0.5000 0.5000  4 Ir 3.00, 8 Te 3.19

Size of the total moment (μB/cell): 0.00
Calculated volume (A^3/atom): 21.45
Calculated total energy (eV per atom): -3.77
ΔE_f (raw) (meV/atom): 911.9
E above lowest polymorph (eV per formula unit): 4.59
N(E_F) (states/eV/atom): 0.761

***

# 8
A plane-wave DFT calculation with PBEsol was carried out for a relaxed LaSc2Te crystal.

abc: 3.6315 5.4277 10.7946
angles: 90.00 90.00 90.00
Last column: nearest neighbours and their distance in Å.
Fractional coordinates of all 8 atoms:
1 La 0.0000 0.0000 0.0000  4 Te 3.27, 8 Sc 3.52-3.61, 2 La 3.63
2 La 0.5000 0.5000 0.5000  4 Te 3.27, 8 Sc 3.52-3.61, 2 La 3.63
3 Sc 0.0000 0.5000 0.2207  2 Te 3.00, 4 Sc 3.33
4 Sc 0.0000 0.5000 0.7793  2 Te 3.00, 4 Sc 3.33
5 Sc 0.5000 0.0000 0.2793  2 Te 3.00, 4 Sc 3.33
6 Sc 0.5000 0.0000 0.7207  2 Te 3.00, 4 Sc 3.33
7 Te 0.0000 0.0000 0.5000  4 Sc 3.00, 4 La 3.27
8 Te 0.5000 0.5000 0.0000  4 Sc 3.00, 4 La 3.27

Size of the total moment (μB/cell): 0.00
Calculated volume (A^3/atom): 26.60
Calculated total energy (eV per atom): -6.05
ΔE_f (raw) (meV/atom): -531.8
N(E_F) (states/eV/atom): 1.117

***

# 9
A plane-wave DFT calculation with PBEsol was carried out for a relaxed Y2ScAu2 crystal.

abc: 7.8985 7.8985 3.7064
angles: 90.00 90.00 90.00
Last column: nearest neighbours and their distance in Å.
Fractional coordinates of all 10 atoms:
1 Y 0.1654 0.3346 0.0000  6 Au 2.91-3.01
2 Y 0.3346 0.8346 0.0000  6 Au 2.91-3.01
3 Y 0.6654 0.1654 0.0000  6 Au 2.91-3.01
4 Y 0.8346 0.6654 0.0000  6 Au 2.91-3.01
5 Sc 0.0000 0.0000 0.5000  4 Au 3.08
6 Sc 0.5000 0.5000 0.5000  4 Au 3.08
7 Au 0.1338 0.6338 0.5000  6 Y 2.91-3.01, 1 Au 2.99, 2 Sc 3.08
8 Au 0.3662 0.1338 0.5000  6 Y 2.91-3.01, 1 Au 2.99, 2 Sc 3.08
9 Au 0.6338 0.8662 0.5000  6 Y 2.91-3.01, 1 Au 2.99, 2 Sc 3.08
10 Au 0.8662 0.3662 0.5000  6 Y 2.91-3.01, 1 Au 2.99, 2 Sc 3.08

Size of the total moment (μB/cell): 0.00
DFT formation energy (eV per atom): -0.7013
Calculated volume (A^3/atom): 23.12
Calculated total energy (eV per atom): -6.32
N(E_F) (states/eV/atom): 1.481

***

# 10
A plane-wave DFT calculation with PBEsol was carried out for a relaxed Hf2B2Ru crystal.

abc: 6.0681 6.0681 3.3857
angles: 90.00 90.00 90.00
Last column: nearest neighbours and their distance in Å.
Fractional coordinates of all 10 atoms:
1 Hf 0.1802 0.3198 0.0000  6 B 2.47-2.48
2 Hf 0.3198 0.8198 0.0000  6 B 2.47-2.48
3 Hf 0.6802 0.1802 0.0000  6 B 2.47-2.48
4 Hf 0.8198 0.6802 0.0000  6 B 2.47-2.48
5 B 0.1080 0.6080 0.5000  1 B 1.85
6 B 0.3920 0.1080 0.5000  1 B 1.85
7 B 0.6080 0.8920 0.5000  1 B 1.85
8 B 0.8920 0.3920 0.5000  1 B 1.85
9 Ru 0.0000 0.0000 0.5000  4 B 2.47
10 Ru 0.5000 0.5000 0.5000  4 B 2.47

Size of the total moment (μB/cell): 0.00
DFT formation energy (eV per atom): -0.8940
Calculated volume (A^3/atom): 12.47
Calculated total energy (eV per atom): -9.94
N(E_F) (states/eV/atom): 0.327

***

# 11
A plane-wave DFT calculation with PBEsol was carried out for a relaxed InWBr2F crystal.

abc: 5.2201 5.2201 5.6053
angles: 90.00 90.00 90.00
Last column: nearest neighbours and their distance in Å.
Fractional coordinates of all 5 atoms:
1 In 0.0000 0.0000 0.0000  4 Br 2.61, 2 W 2.80
2 W 0.0000 0.0000 0.5000  2 In 2.80
3 Br 0.0000 0.5000 0.0000  2 In 2.61
4 Br 0.5000 0.0000 0.0000  2 In 2.61
5 F 0.5000 0.5000 0.5000  4 W 3.69, 8 Br 3.83

Size of the total moment (μB/cell): 3.93
Calculated volume (A^3/atom): 30.55
Calculated total energy (eV per atom): -3.42
ΔE_f (raw) (meV/atom): 1074.5
N(E_F) (states/eV/atom): 1.336

***

# 12
A plane-wave DFT calculation with PBEsol was carried out for a relaxed MnTcRh2 crystal.

abc: 2.6344 3.7058 5.3160
angles: 90.00 90.00 90.00
Last column: nearest neighbours and their distance in Å.
Fractional coordinates of all 4 atoms:
1 Mn 0.0000 0.0000 0.0000  6 Rh 2.58-2.67, 4 Tc 2.63, 2 Mn 2.63
2 Tc 0.5000 0.5000 0.7518  6 Rh 2.55-2.77, 4 Mn 2.63, 2 Tc 2.63
3 Rh 0.0000 0.0000 0.5015  4 Tc 2.63, 6 Rh 2.63-2.69, 2 Mn 2.65-2.67
4 Rh 0.5000 0.5000 0.2306  2 Tc 2.55-2.77, 4 Mn 2.58, 6 Rh 2.63-2.69

Size of the total moment (μB/cell): 1.49
DFT formation energy (eV per atom): -0.0163
Calculated volume (A^3/atom): 12.97
Calculated total energy (eV per atom): -9.34
E above lowest polymorph (eV per formula unit): 0.21
N(E_F) (states/eV/atom): 1.037